Here is a relaxed structure of V2SiRh5 from the Alexandria database. Energies are from PBE.

The value obtained for the uncorrected formation energy is -0.5413 eV per atom. As for the density of states at the Fermi level: 14.80 states/eV/cell.

The space group is Pbam (No. 55) and the conventional cell measures 5.345, 10.400 and 3.930 Å, with angles of 90.00, 90.00 and 90.00 degrees. The asymmetric unit holds V at (0.171, 0.143, 0.000), Si at (0.000, 0.500, 0.500), Rh at (0.000, 0.000, 0.500), Rh at (0.078, 0.738, 0.500) and Rh at (0.185, 0.396, 0.000).